{
  "formula": "TePtPbN2",
  "functional": "PBE-GGA",
  "state": "optimized geometry",
  "formation_energy_uncorrected_ev_per_atom": 1.843,
  "e_above_lowest_polymorph_kj_per_mol_atoms": 67.2,
  "vol_a3_per_fu": 115.8,
  "e_tot_ev_per_atom": -4.0650,
  "crystal_system": "tetragonal",
  "spacegroup": "P4/mmm (123)",
  "cell": [[4.2709, 0.0000, 0.0000], [0.0000, 4.2709, 0.0000], [0.0000, 0.0000, 6.3491]],
  "species": ["Te", "Pt", "Pb", "N", "N"],
  "frac_coords": [[0.0000, 0.0000, 0.0000], [0.5000, 0.5000, 0.0000], [0.0000, 0.0000, 0.5000], [0.0000, 0.5000, 0.5000], [0.5000, 0.0000, 0.5000]]
}


{
  "formula": "PrTh2Rh",
  "functional": "PBE-GGA",
  "state": "optimized geometry",
  "e_above_lowest_polymorph_kj_per_mol_atoms": 32.4,
  "vol_a3_per_fu": 130.4,
  "e_tot_ev_per_atom": -6.8543,
  "crystal_system": "trigonal",
  "spacegroup": "R-3m (166)",
  "cell": [[3.8092, 0.0000, 0.0000], [-1.9046, 3.2988, 0.0000], [0.0000, 0.0000, 31.1383]],
  "species": ["Pr", "Pr", "Pr", "Th", "Th", "Th", "Th", "Th", "Th", "Rh", "Rh", "Rh"],
  "frac_coords": [[0.0000, 0.0000, 0.0000], [0.3333, 0.6667, 0.6667], [0.6667, 0.3333, 0.3333], [0.0000, 0.0000, 0.1097], [0.0000, 0.0000, 0.8903], [0.3333, 0.6667, 0.5570], [0.3333, 0.6667, 0.7763], [0.6667, 0.3333, 0.2237], [0.6667, 0.3333, 0.4430], [0.0000, 0.0000, 0.5000], [0.3333, 0.6667, 0.1667], [0.6667, 0.3333, 0.8333]]
}


{
  "formula": "ErThCd2",
  "functional": "PBE-GGA",
  "state": "optimized geometry",
  "e_above_lowest_polymorph_kj_per_mol_atoms": 0.0,
  "vol_a3_per_fu": 106.6,
  "e_tot_ev_per_atom": -3.6478,
  "crystal_system": "tetragonal",
  "spacegroup": "P4/mmm (123)",
  "cell": [[3.5119, 0.0000, 0.0000], [0.0000, 3.5119, 0.0000], [0.0000, 0.0000, 8.6397]],
  "species": ["Er", "Th", "Cd", "Cd"],
  "frac_coords": [[0.0000, 0.0000, 0.0000], [0.0000, 0.0000, 0.5000], [0.5000, 0.5000, 0.2334], [0.5000, 0.5000, 0.7666]]
}


{
  "formula": "Li6Zn2Pt",
  "functional": "PBE-GGA",
  "state": "optimized geometry",
  "e_above_lowest_polymorph_kj_per_mol_atoms": 4.0,
  "vol_a3_per_fu": 134.7,
  "e_tot_ev_per_atom": -2.4749,
  "crystal_system": "monoclinic",
  "spacegroup": "C2/m (12)",
  "cell": [[6.7126, -3.8504, 0.0000], [6.7126, 3.8504, 0.0000], [-0.1116, 0.0000, 2.6052]],
  "species": ["Li", "Li", "Li", "Li", "Li", "Li", "Zn", "Zn", "Pt"],
  "frac_coords": [[0.1760, 0.5002, 0.9897], [0.1762, 0.8238, 0.0000], [0.5002, 0.1760, 0.9897], [0.4998, 0.8240, 0.0103], [0.8238, 0.1762, 0.0000], [0.8240, 0.4998, 0.0103], [0.1661, 0.1661, 0.5005], [0.8339, 0.8339, 0.4995], [0.5000, 0.5000, 0.5000]]
}


{
  "formula": "NaPuSiS4",
  "functional": "PBE-GGA",
  "state": "optimized geometry",
  "formation_energy_uncorrected_ev_per_atom": -1.150,
  "vol_a3_per_fu": 163.1,
  "e_tot_ev_per_atom": -6.5193,
  "crystal_system": "monoclinic",
  "spacegroup": "P2_1/m (11)",
  "cell": [[6.4787, 0.0000, 0.0000], [0.0000, 6.5232, 0.0000], [-2.1563, 0.0000, 7.7209]],
  "species": ["Na", "Na", "Pu", "Pu", "Si", "Si", "S", "S", "S", "S", "S", "S", "S", "S"],
  "frac_coords": [[0.2459, 0.2500, 0.4379], [0.7541, 0.7500, 0.5621], [0.2725, 0.2500, 0.9435], [0.7275, 0.7500, 0.0565], [0.2685, 0.7500, 0.1895], [0.7315, 0.2500, 0.8105], [0.0679, 0.7500, 0.3568], [0.0918, 0.7500, 0.9235], [0.4874, 0.0020, 0.2343], [0.4874, 0.4980, 0.2343], [0.5126, 0.5020, 0.7657], [0.5126, 0.9980, 0.7657], [0.9082, 0.2500, 0.0765], [0.9321, 0.2500, 0.6432]]
}


{
  "formula": "ErGe3Pd2",
  "functional": "PBE-GGA",
  "state": "optimized geometry",
  "e_above_lowest_polymorph_kj_per_mol_atoms": 0.0,
  "vol_a3_per_fu": 111.0,
  "e_tot_ev_per_atom": -5.3640,
  "crystal_system": "monoclinic",
  "spacegroup": "C2/m (12)",
  "cell": [[7.9602, -2.0998, 0.0000], [7.9602, 2.0998, 0.0000], [-3.2435, 0.0000, 6.6403]],
  "species": ["Er", "Er", "Ge", "Ge", "Ge", "Ge", "Ge", "Ge", "Pd", "Pd", "Pd", "Pd"],
  "frac_coords": [[0.1254, 0.1254, 0.1520], [0.8746, 0.8746, 0.8480], [0.0450, 0.0450, 0.6830], [0.3175, 0.3175, 0.1072], [0.3380, 0.3380, 0.5374], [0.6620, 0.6620, 0.4626], [0.6825, 0.6825, 0.8928], [0.9550, 0.9550, 0.3170], [0.2133, 0.2133, 0.6960], [0.4925, 0.4925, 0.1785], [0.5075, 0.5075, 0.8215], [0.7867, 0.7867, 0.3040]]
}


{
  "formula": "K2BaNi",
  "functional": "PBE-GGA",
  "state": "optimized geometry",
  "e_above_lowest_polymorph_kj_per_mol_atoms": 46.2,
  "vol_a3_per_fu": 189.1,
  "e_tot_ev_per_atom": -1.7489,
  "crystal_system": "tetragonal",
  "spacegroup": "I4_1/amd (141)",
  "cell": [[10.5247, 0.0000, 0.0000], [0.0000, 10.5247, 0.0000], [0.0000, 0.0000, 6.8293]],
  "species": ["K", "K", "K", "K", "K", "K", "K", "K", "Ba", "Ba", "Ba", "Ba", "Ni", "Ni", "Ni", "Ni"],
  "frac_coords": [[0.0000, 0.0000, 0.0000], [0.0000, 0.5000, 0.0000], [0.2500, 0.2500, 0.7500], [0.2500, 0.7500, 0.2500], [0.5000, 0.0000, 0.5000], [0.5000, 0.5000, 0.5000], [0.7500, 0.2500, 0.7500], [0.7500, 0.7500, 0.2500], [0.0000, 0.2500, 0.3750], [0.0000, 0.7500, 0.6250], [0.5000, 0.2500, 0.1250], [0.5000, 0.7500, 0.8750], [0.0000, 0.2500, 0.8750], [0.0000, 0.7500, 0.1250], [0.5000, 0.2500, 0.6250], [0.5000, 0.7500, 0.3750]]
}


{
  "formula": "Ac6Co2RhI3",
  "functional": "PBE-GGA",
  "state": "optimized geometry",
  "formation_energy_uncorrected_ev_per_atom": -0.759,
  "vol_a3_per_fu": 416.1,
  "e_tot_ev_per_atom": -4.9973,
  "crystal_system": "monoclinic",
  "spacegroup": "C2/m (12)",
  "cell": [[3.7295, -6.4596, 0.0000], [3.7295, 6.4596, 0.0000], [-2.4871, 0.0000, 8.6370]],
  "species": ["Ac", "Ac", "Ac", "Ac", "Ac", "Ac", "Co", "Co", "Rh", "I", "I", "I"],
  "frac_coords": [[0.0989, 0.4392, 0.8177], [0.2205, 0.2205, 0.1822], [0.4392, 0.0989, 0.8177], [0.5608, 0.9011, 0.1823], [0.7795, 0.7795, 0.8178], [0.9011, 0.5608, 0.1823], [0.1666, 0.8334, 0.0000], [0.8334, 0.1666, 0.0000], [0.5000, 0.5000, 0.0000], [0.0000, 0.0000, 0.5000], [0.3335, 0.6665, 0.5000], [0.6665, 0.3335, 0.5000]]
}


{
  "formula": "La2Ga4Rh",
  "functional": "PBE-GGA",
  "state": "optimized geometry",
  "vol_a3_per_fu": 172.1,
  "e_tot_ev_per_atom": -4.7026,
  "crystal_system": "tetragonal",
  "spacegroup": "I4/mmm (139)",
  "cell": [[4.6863, 0.0000, 0.0000], [0.0000, 4.6863, 0.0000], [0.0000, 0.0000, 15.6774]],
  "species": ["La", "La", "La", "La", "Ga", "Ga", "Ga", "Ga", "Ga", "Ga", "Ga", "Ga", "Rh", "Rh"],
  "frac_coords": [[0.0000, 0.0000, 0.1455], [0.0000, 0.0000, 0.8545], [0.5000, 0.5000, 0.3545], [0.5000, 0.5000, 0.6455], [0.0000, 0.0000, 0.3389], [0.0000, 0.0000, 0.6611], [0.0000, 0.5000, 0.0000], [0.0000, 0.5000, 0.5000], [0.5000, 0.0000, 0.0000], [0.5000, 0.0000, 0.5000], [0.5000, 0.5000, 0.1611], [0.5000, 0.5000, 0.8389], [0.0000, 0.0000, 0.5000], [0.5000, 0.5000, 0.0000]]
}


{
  "formula": "Tb2Pr3DyTm6",
  "functional": "PBE-GGA",
  "state": "optimized geometry",
  "vol_a3_per_fu": 381.4,
  "e_tot_ev_per_atom": -4.5630,
  "crystal_system": "monoclinic",
  "spacegroup": "C2/m (12)",
  "cell": [[3.0918, -5.3529, 0.0000], [3.0918, 5.3529, 0.0000], [-2.0535, 0.0000, 11.5239]],
  "species": ["Tb", "Tb", "Pr", "Pr", "Pr", "Dy", "Tm", "Tm", "Tm", "Tm", "Tm", "Tm"],
  "frac_coords": [[0.1666, 0.8334, 0.0000], [0.8334, 0.1666, 0.0000], [0.0000, 0.0000, 0.5000], [0.3333, 0.6667, 0.5000], [0.6667, 0.3333, 0.5000], [0.5000, 0.5000, 0.0000], [0.0845, 0.4178, 0.7540], [0.2490, 0.2490, 0.2461], [0.4178, 0.0845, 0.7540], [0.5822, 0.9155, 0.2460], [0.7510, 0.7510, 0.7539], [0.9155, 0.5822, 0.2460]]
}


{
  "formula": "BaY2Cd",
  "functional": "PBE-GGA",
  "state": "optimized geometry",
  "vol_a3_per_fu": 136.3,
  "e_tot_ev_per_atom": -3.8004,
  "crystal_system": "cubic",
  "spacegroup": "F-43m (216)",
  "cell": [[8.1691, 0.0000, 0.0000], [0.0000, 8.1691, 0.0000], [0.0000, 0.0000, 8.1691]],
  "species": ["Ba", "Ba", "Ba", "Ba", "Y", "Y", "Y", "Y", "Y", "Y", "Y", "Y", "Cd", "Cd", "Cd", "Cd"],
  "frac_coords": [[0.0000, 0.0000, 0.0000], [0.0000, 0.5000, 0.5000], [0.5000, 0.0000, 0.5000], [0.5000, 0.5000, 0.0000], [0.0000, 0.0000, 0.5000], [0.0000, 0.5000, 0.0000], [0.2500, 0.2500, 0.2500], [0.2500, 0.7500, 0.7500], [0.5000, 0.0000, 0.0000], [0.5000, 0.5000, 0.5000], [0.7500, 0.2500, 0.7500], [0.7500, 0.7500, 0.2500], [0.2500, 0.2500, 0.7500], [0.2500, 0.7500, 0.2500], [0.7500, 0.2500, 0.2500], [0.7500, 0.7500, 0.7500]]
}


{
  "formula": "K2CdIn3Au4",
  "functional": "PBE-GGA",
  "state": "optimized geometry",
  "vol_a3_per_fu": 269.9,
  "e_tot_ev_per_atom": -2.7439,
  "crystal_system": "tetragonal",
  "spacegroup": "P-4m2 (115)",
  "cell": [[5.0294, 0.0000, 0.0000], [0.0000, 5.0294, 0.0000], [0.0000, 0.0000, 10.6718]],
  "species": ["K", "K", "Cd", "In", "In", "In", "Au", "Au", "Au", "Au"],
  "frac_coords": [[0.0000, 0.5000, 0.2419], [0.5000, 0.0000, 0.7581], [0.0000, 0.0000, 0.5000], [0.0000, 0.5000, 0.8830], [0.5000, 0.0000, 0.1170], [0.5000, 0.5000, 0.5000], [0.0000, 0.0000, 0.0000], [0.0000, 0.5000, 0.6241], [0.5000, 0.0000, 0.3759], [0.5000, 0.5000, 0.0000]]
}


Ordered N(E_F) results: 3.37; 19.37; 3.83; 4.87; 23.95; 3.87; 10.77; 3.46; 9.07; 14.56; 18.19; 2.81; unit states/eV/cell.